# TaNiP | the Alexandria database | PBE | optimized geometry
data_TaNiP
_cell_length_a 3.800
_cell_length_b 4.668
_cell_length_c 9.313
_cell_angle_alpha 90.00
_cell_angle_beta 90.00
_cell_angle_gamma 90.00
_space_group_name_H-M_alt 'F m m 2'
_space_group_IT_number 42
_space_group_name_Hall 'F 2 -2'
loop_
_atom_site_label
_atom_site_type_symbol
_atom_site_fract_x
_atom_site_fract_y
_atom_site_fract_z
Ta1 Ta 0.000 0.000 0.000
Ni1 Ni 0.000 0.000 0.693
P1 P 0.000 0.000 0.314
# Total magnetization, μB per cell: 0.00
# Calculated formation energy, kJ per mole of atoms: -30.1
# Raw total energy, eV/atom: -7.993
# Crystal system: orthorhombic



# Pr2BiO2 | the Alexandria database | PBE | optimized geometry
data_Pr2BiO2
_cell_length_a 7.362
_cell_length_b 10.724
_cell_length_c 6.754
_cell_angle_alpha 90.00
_cell_angle_beta 122.91
_cell_angle_gamma 90.00
_space_group_name_H-M_alt 'C 1 2/c 1'
_space_group_IT_number 15
_space_group_name_Hall '-C 2yc'
loop_
_atom_site_label
_atom_site_type_symbol
_atom_site_fract_x
_atom_site_fract_y
_atom_site_fract_z
Pr1 Pr 0.000 0.051 0.250
Pr2 Pr 0.000 0.301 0.750
Bi1 Bi 0.000 0.376 0.250
O1 O 0.132 0.125 0.015
# Total magnetization, μB per cell: 0.00
# Energy above the most stable polymorph in this dataset, kJ per mole of atoms: 17.4
# Raw total energy, eV/atom: -7.040
# Energy relative to the elements, uncorrected, kJ/mol of formula units: -1143
# Crystal system: monoclinic